Record 1
This record from the Alexandria database describes a relaxed structure of CaPmSnHg. The functional is PBE-GGA.

Output
ΔH_f (0 K)	-0.60	eV/atom
SG	F-43m, No. 216
calculated total energy	-3.366	eV/atom
crystal system	cubic

```
4
Lattice="5.4147 0.0000 0.0000 2.7074 4.6893 0.0000 2.7074 1.5631 4.4211" Properties=species:S:1:pos:R:3 pbc="T T T"
Ca 2.7074 1.5631 1.1053
Hg 0.0000 0.0000 0.0000
Sn 5.4147 3.1262 2.2106
Pm 8.1221 4.6893 3.3158
```

---

Record 2
This record from the Alexandria database describes a relaxed structure of SrNiSCl2. The functional is PBE-GGA.

Output
energy relative to the lowest polymorph listed for this composition	1007	meV per atom
SG	P4/mmm, No. 123
raw formation energy	-0.177	eV per atom
calculated total energy	-3.233	eV/atom
crystal system	tetragonal

```
5
Lattice="5.4937 0.0000 0.0000 0.0000 5.4937 0.0000 0.0000 0.0000 5.8660" Properties=species:S:1:pos:R:3 pbc="T T T"
Sr 0.0000 0.0000 0.0000
S 0.0000 0.0000 2.9330
Cl 0.0000 2.7469 0.0000
Cl 2.7469 0.0000 0.0000
Ni 2.7469 2.7469 2.9330
```

---

Record 3
This record from the Alexandria database describes a relaxed structure of BRh. The functional is PBE-GGA.

Output
ΔH_f (0 K)	-0.17	eV/atom
SG	P6_3/mmc, No. 194
calculated total energy	-7.187	eV/atom
crystal system	hexagonal

```
4
Lattice="2.9780 0.0000 0.0000 -1.4890 2.5790 0.0000 0.0000 0.0000 5.5529" Properties=species:S:1:pos:R:3 pbc="T T T"
B 0.0000 1.7194 1.3882
B 1.4890 0.8597 4.1647
Rh 0.0000 0.0000 2.7765
Rh 0.0000 0.0000 0.0000
```

---

Record 4
This record from the Alexandria database describes a relaxed structure of Ba2TbPb2O6. The functional is PBE-GGA.

Output
SG	C2/m, No. 12
raw formation energy	-2.035	eV per atom
calculated total energy	-6.185	eV/atom
crystal system	monoclinic

```
11
Lattice="-4.1129 -0.4397 5.0020 0.3956 -4.4867 -4.2804 5.5936 0.1211 4.6100" Properties=species:S:1:pos:R:3 pbc="T T T"
Ba -1.9998 -2.1573 2.3773
Ba 3.8761 -2.6479 2.9544
Tb 0.7404 -0.1593 4.8060
Pb 0.7387 -4.1479 4.4540
Pb 1.1376 -0.6573 0.8776
O -0.0133 -2.1826 4.0085
O 0.8799 -3.8869 -1.6785
O 3.0086 -0.7032 4.5629
O 0.9964 -0.9183 7.0101
O -1.1323 -4.1020 0.7687
O 1.8896 -2.6226 1.3232
```

---

What did the fourth record say?
This record from the Alexandria database describes a relaxed structure of Ba2TbPb2O6. The functional is PBE-GGA.

Output
SG	C2/m, No. 12
raw formation energy	-2.035	eV per atom
calculated total energy	-6.185	eV/atom
crystal system	monoclinic

```
11
Lattice="-4.1129 -0.4397 5.0020 0.3956 -4.4867 -4.2804 5.5936 0.1211 4.6100" Properties=species:S:1:pos:R:3 pbc="T T T"
Ba -1.9998 -2.1573 2.3773
Ba 3.8761 -2.6479 2.9544
Tb 0.7404 -0.1593 4.8060
Pb 0.7387 -4.1479 4.4540
Pb 1.1376 -0.6573 0.8776
O -0.0133 -2.1826 4.0085
O 0.8799 -3.8869 -1.6785
O 3.0086 -0.7032 4.5629
O 0.9964 -0.9183 7.0101
O -1.1323 -4.1020 0.7687
O 1.8896 -2.6226 1.3232
```

---

Question: What is the formula in the fourth record?
Answer: Ba2TbPb2O6

---

Question: The highest calculated total energy belongs to which entry?
Answer: SrNiSCl2

---

Question: calculated total energy of number 4 (Ba2TbPb2O6)?
Answer: -6.185 eV/atom